Arrangement i

Below is an optimized crystal structure of BaLi2Tl, with properties calculated at the GGA-PBEsol level.

Output
Crystal system = trigonal
Fermi-level density of states = 10.06 states/eV/cell

Unit cell a=4.8883 b=4.8883 c=17.5958 alpha=90.00 beta=90.00 gamma=120.00
Last column: nearest neighbours and their distance in Å.
Space group R3m (No. 160, hexagonal axes)
Unique sites:
Ba: 0.0000 0.0000 0.0000 x3  1 Li 3.30, 4 Tl 3.54-3.66
Li: 0.0000 0.0000 0.5107 x3  3 Tl 2.85, 3 Li 2.88
Li: 0.0000 0.0000 0.8123 x3  3 Li 2.88, 3 Tl 2.99
Tl: 0.0000 0.0000 0.2011 x3  6 Li 2.85-2.99


Arrangement ii

Below is an optimized crystal structure of BaLi2Tl, with properties calculated at the GGA-PBEsol level.

Output
Crystal system = tetragonal
Fermi-level density of states = 4.34 states/eV/cell

Unit cell a=5.1560 b=5.1560 c=4.4632 alpha=90.00 beta=90.00 gamma=90.00
Last column: nearest neighbours and their distance in Å.
Space group P4/mmm (No. 123)
Unique sites:
Ba: 0.0000 0.0000 0.0000 x1  8 Li 3.41, 4 Tl 3.65
Li: 0.0000 0.5000 0.5000 x2  4 Tl 3.41, 4 Ba 3.41, 4 Li 3.65
Tl: 0.5000 0.5000 0.0000 x1  8 Li 3.41, 4 Ba 3.65


Arrangement iii

Below is an optimized crystal structure of BaLi2Tl, with properties calculated at the GGA-PBEsol level.

Output
Crystal system = trigonal
Fermi-level density of states = 10.16 states/eV/cell

Unit cell a=4.8506 b=4.8506 c=16.7740 alpha=90.00 beta=90.00 gamma=120.00
Last column: nearest neighbours and their distance in Å.
Space group R-3m (No. 166, hexagonal axes)
Unique sites:
Ba: 0.0000 0.0000 0.0000 x3  8 Li 3.33-3.60
Li: 0.0000 0.0000 0.1985 x6  3 Tl 2.85, 3 Li 3.00
Tl: 0.0000 0.0000 0.5000 x3  6 Li 2.85


Arrangement iv

Below is an optimized crystal structure of BaLi2Tl, with properties calculated at the GGA-PBEsol level.

Output
Crystal system = cubic
Fermi-level density of states = 19.92 states/eV/cell

Unit cell a=7.4986 b=7.4986 c=7.4986 alpha=90.00 beta=90.00 gamma=90.00
Last column: nearest neighbours and their distance in Å.
Space group Fm-3m (No. 225)
Unique sites:
Ba: 0.0000 0.0000 0.0000 x4  8 Li 3.25
Li: 0.2500 0.2500 0.2500 x8  4 Ba 3.25, 4 Tl 3.25
Tl: 0.0000 0.0000 0.5000 x4  8 Li 3.25


So which one is most stable? That would be arrangement iii, about 10 meV/atom below the next structure.


Arrangement i

Below is an optimized crystal structure of BaLiTl, with properties calculated at the GGA-PBEsol level.

Output
Crystal system = hexagonal
Fermi-level density of states = 2.48 states/eV/cell

Unit cell a=5.3045 b=5.3045 c=3.8295 alpha=90.00 beta=90.00 gamma=120.00
Last column: nearest neighbours and their distance in Å.
Space group P-6m2 (No. 187)
Unique sites:
Ba: 0.0000 0.0000 0.0000 x1  6 Tl 3.61, 6 Li 3.61, 2 Ba 3.83
Li: 0.3333 0.6667 0.5000 x1  3 Tl 3.06
Tl: 0.6667 0.3333 0.5000 x1  3 Li 3.06


Arrangement ii

Below is an optimized crystal structure of BaLiTl, with properties calculated at the GGA-PBEsol level.

Output
Crystal system = tetragonal
Fermi-level density of states = 1.96 states/eV/cell

Unit cell a=3.9617 b=3.9617 c=11.9233 alpha=90.00 beta=90.00 gamma=90.00
Last column: nearest neighbours and their distance in Å.
Space group I4mm (No. 107)
Unique sites:
Ba: 0.0000 0.0000 0.0000 x2  5 Li 3.43-3.78, 5 Tl 3.63-3.65
Li: 0.0000 0.0000 0.7123 x2  4 Tl 3.02
Tl: 0.0000 0.0000 0.3063 x2  4 Li 3.02


So which one is most stable? That would be arrangement i, about 30 meV/atom below the next structure.


Arrangement i

Below is an optimized crystal structure of Ba2LiY, with properties calculated at the GGA-PBEsol level.

Output
Crystal system = cubic
Fermi-level density of states = 26.61 states/eV/cell

Unit cell a=8.5070 b=8.5070 c=8.5070 alpha=90.00 beta=90.00 gamma=90.00
Last column: nearest neighbours and their distance in Å.
Space group F-43m (No. 216)
Unique sites:
Ba: 0.0000 0.0000 0.0000 x4  4 Ba 3.68, 4 Y 3.68
Ba: 0.2500 0.2500 0.2500 x4  4 Ba 3.68, 4 Li 3.68
Li: 0.0000 0.0000 0.5000 x4  4 Y 3.68, 4 Ba 3.68
Y: 0.2500 0.2500 0.7500 x4  4 Ba 3.68, 4 Li 3.68


Arrangement ii

Below is an optimized crystal structure of Ba2LiY, with properties calculated at the GGA-PBEsol level.

Output
Crystal system = tetragonal
Fermi-level density of states = 5.99 states/eV/cell

Unit cell a=4.2756 b=4.2756 c=8.8400 alpha=90.00 beta=90.00 gamma=90.00
Last column: nearest neighbours and their distance in Å.
Space group P4/mmm (No. 123)
Unique sites:
Ba: 0.0000 0.0000 0.2374 x2  4 Li 3.68, 4 Y 3.81
Li: 0.5000 0.5000 0.0000 x1  8 Ba 3.68
Y: 0.5000 0.5000 0.5000 x1  8 Ba 3.81


So which one is most stable? That would be arrangement ii, about 103 meV/atom below the next structure.


Arrangement i

Below is an optimized crystal structure of BaLi2Y, with properties calculated at the GGA-PBEsol level.

Output
Crystal system = orthorhombic
Fermi-level density of states = 9.65 states/eV/cell

Unit cell a=8.0645 b=8.0957 c=3.7755 alpha=90.00 beta=90.00 gamma=90.00
Last column: nearest neighbours and their distance in Å.
Space group Cmmm (No. 65)
Unique sites:
Ba: 0.0000 0.0000 0.0000 x2  8 Li 3.42, 2 Ba 3.78
Li: 0.2500 0.2500 0.5000 x4  4 Ba 3.42, 4 Y 3.42, 2 Li 3.78
Y: 0.0000 0.5000 0.0000 x2  8 Li 3.42, 2 Y 3.78


Arrangement ii

Below is an optimized crystal structure of BaLi2Y, with properties calculated at the GGA-PBEsol level.

Output
Crystal system = trigonal
Fermi-level density of states = 14.02 states/eV/cell

Unit cell a=3.5818 b=3.5818 c=33.5168 alpha=90.00 beta=90.00 gamma=120.00
Last column: nearest neighbours and their distance in Å.
Space group R-3m (No. 166, hexagonal axes)
Unique sites:
Ba: 0.0000 0.0000 0.0000 x3  6 Ba 3.58, 6 Li 3.63
Li: 0.0000 0.0000 0.2444 x6  3 Y 3.33, 6 Li 3.58, 3 Ba 3.63
Y: 0.0000 0.0000 0.5000 x3  6 Li 3.33, 6 Y 3.58


So which one is most stable? That would be arrangement i, about 52 meV/atom below the next structure.


Arrangement i

Below is an optimized crystal structure of BaLiZr, with properties calculated at the GGA-PBEsol level.

Output
Crystal system = trigonal
Fermi-level density of states = 3.98 states/eV/cell

Unit cell a=3.3754 b=3.3754 c=8.5635 alpha=90.00 beta=90.00 gamma=120.00
Last column: nearest neighbours and their distance in Å.
Space group P3m1 (No. 156)
Unique sites:
Ba: 0.0000 0.0000 0.0000 x1  6 Ba 3.38, 3 Zr 3.57, 3 Li 3.66
Li: 0.3333 0.6667 0.6377 x1  3 Zr 3.14, 6 Li 3.38
Zr: 0.6667 0.3333 0.3498 x1  3 Li 3.14, 6 Zr 3.38


Arrangement ii

Below is an optimized crystal structure of BaLiZr, with properties calculated at the GGA-PBEsol level.

Output
Crystal system = tetragonal
Fermi-level density of states = 8.87 states/eV/cell

Unit cell a=3.2604 b=3.2604 c=15.8191 alpha=90.00 beta=90.00 gamma=90.00
Last column: nearest neighbours and their distance in Å.
Space group I4mm (No. 107)
Unique sites:
Ba: 0.0000 0.0000 0.0000 x2  4 Ba 3.26, 4 Zr 3.65
Li: 0.0000 0.0000 0.6845 x2  4 Zr 3.16, 4 Li 3.26
Zr: 0.0000 0.0000 0.3212 x2  4 Li 3.16, 4 Zr 3.26


So which one is most stable? That would be arrangement i, about 7 meV/atom below the next structure.


Arrangement i

Below is an optimized crystal structure of BaLi2Zr, with properties calculated at the GGA-PBEsol level.

Output
Crystal system = cubic
Fermi-level density of states = 9.26 states/eV/cell

Unit cell a=7.3198 b=7.3198 c=7.3198 alpha=90.00 beta=90.00 gamma=90.00
Last column: nearest neighbours and their distance in Å.
Space group F-43m (No. 216)
Unique sites:
Ba: 0.0000 0.0000 0.0000 x4  4 Li 3.17, 4 Zr 3.17
Li: 0.0000 0.0000 0.5000 x4  4 Zr 3.17, 4 Li 3.17
Li: 0.2500 0.2500 0.2500 x4  4 Ba 3.17, 4 Li 3.17
Zr: 0.2500 0.2500 0.7500 x4  4 Ba 3.17, 4 Li 3.17


Arrangement ii

Below is an optimized crystal structure of BaLi2Zr, with properties calculated at the GGA-PBEsol level.

Output
Crystal system = monoclinic
Fermi-level density of states = 9.12 states/eV/cell

Unit cell a=10.6870 b=3.1752 c=6.3426 alpha=90.00 beta=95.83 gamma=90.00
Last column: nearest neighbours and their distance in Å.
Space group C2/m (No. 12)
Unique sites:
Ba: 0.0000 0.0000 0.0000 x2  2 Ba 3.18, 2 Li 3.38, 4 Zr 3.55
Li: 0.2419 0.0000 0.6948 x4  4 Li 2.96-3.18, 3 Zr 3.13-3.18
Zr: 0.0000 0.5000 0.5000 x2  6 Li 3.13-3.18, 2 Zr 3.18


So which one is most stable? That would be arrangement ii, about 143 meV/atom below the next structure.